(1)
The following is a GGA-PBE calculation of a relaxed structure of MgCuBi, from the Alexandria database.

```
MgCuBi
1.0
4.241 0.000 0.000
0.000 4.241 0.000
0.000 0.000 7.033
Mg Cu Bi
2 2 2
direct
0.250 0.750 0.000
0.750 0.250 0.000
0.250 0.250 0.255
0.750 0.750 0.745
0.250 0.250 0.658
0.750 0.750 0.342
```

Output
Energy relative to the elements ... 0.0 eV/f.u.
Space-group type ... No. 129
Total magnetization ... 0.000 μB/atom

(2)
The following is a GGA-PBE calculation of a relaxed structure of Y2MnAl, from the Alexandria database.

```
Y2MnAl
1.0
-1.746 2.503 5.300
1.746 -2.503 5.300
1.746 2.503 -5.300
Y Mn Al
2 1 1
direct
0.000 0.000 0.000
0.710 0.210 0.500
0.449 0.449 0.000
0.266 0.766 0.500
```

Output
Energy relative to the elements ... -0.3 eV/f.u.
Space-group type ... No. 44
Total magnetization ... 0.728 μB/atom

(3)
The following is a GGA-PBE calculation of a relaxed structure of TaCoTe2, from the Alexandria database.

```
TaCoTe2
1.0
3.868 -7.751 0.000
3.868 7.751 0.000
0.000 0.000 6.339
Ta Co Te
4 4 8
direct
0.205 0.205 0.000
0.295 0.295 0.500
0.705 0.705 0.500
0.795 0.795 0.000
0.054 0.946 0.646
0.446 0.554 0.146
0.554 0.446 0.854
0.946 0.054 0.354
0.098 0.402 0.250
0.109 0.891 0.254
0.391 0.609 0.754
0.402 0.098 0.750
0.598 0.902 0.250
0.609 0.391 0.246
0.891 0.109 0.746
0.902 0.598 0.750
```

Output
Formation energy without anion corrections ... -31.7 kJ/mol of atoms
Space-group type ... No. 64
Total magnetization ... 0.018 μB/atom

(4)
The following is a GGA-PBE calculation of a relaxed structure of ZrInPd2, from the Alexandria database.

```
ZrInPd2
1.0
4.875 0.000 0.000
0.000 4.875 0.000
0.000 0.000 3.082
Zr In Pd
1 1 2
direct
0.000 0.000 0.000
0.500 0.500 0.000
0.000 0.500 0.500
0.500 0.000 0.500
```

Output
Energy relative to the elements ... -2.1 eV/f.u.
Space-group type ... No. 123
Total magnetization ... 0.000 μB/atom

(5)
The following is a GGA-PBE calculation of a relaxed structure of TlPdAu, from the Alexandria database.

```
TlPdAu
1.0
-2.865 3.772 2.861
2.865 -3.772 2.861
2.865 3.772 -2.861
Tl Pd Au
2 2 2
direct
0.135 0.250 0.385
0.865 0.750 0.615
0.499 0.499 0.000
0.499 0.999 0.500
0.500 0.000 0.000
0.999 0.500 0.000
```

Output
ΔE to the lowest computed polymorph ... 6 meV per atom
Energy relative to the elements ... -0.3 eV/f.u.
Space-group type ... No. 46
Total magnetization ... 0.000 μB/atom

(6)
The following is a GGA-PBE calculation of a relaxed structure of Nd7BI12, from the Alexandria database.

```
Nd7BI12
1.0
7.990 4.613 3.575
-7.990 4.613 3.575
0.000 -9.226 3.575
Nd B I
7 1 12
direct
0.000 0.000 0.000
0.201 0.399 0.468
0.399 0.468 0.201
0.468 0.201 0.399
0.532 0.799 0.601
0.601 0.532 0.799
0.799 0.601 0.532
0.500 0.500 0.500
0.028 0.347 0.110
0.110 0.028 0.347
0.186 0.728 0.578
0.272 0.422 0.814
0.347 0.110 0.028
0.422 0.814 0.272
0.578 0.186 0.728
0.653 0.890 0.972
0.728 0.578 0.186
0.814 0.272 0.422
0.890 0.972 0.653
0.972 0.653 0.890
```

Output
Formation energy without anion corrections ... -119.8 kJ/mol of atoms
Space-group type ... No. 148
Total magnetization ... 0.085 μB/atom